[1]
## Li3SeF (SCAN)

Data for a PBEsol-optimized structure of Li3SeF.

Cell lengths 3.9421, 3.9421, 3.9421 Å; angles 90.00, 90.00, 90.00 degrees
Atoms (fractional coordinates):
Li1 0.0000 0.0000 0.5000
Li2 0.0000 0.5000 0.0000
Li3 0.5000 0.0000 0.0000
Se1 0.5000 0.5000 0.5000
F1 0.0000 0.0000 0.0000

Its total energy is -8.21 eV per atom. As for the energy above the lowest structure with this stoichiometry: 0 meV per atom. The space-group type is Pm-3m, No. 221. Its energy relative to the elements, uncorrected is -2052 meV per atom.



[2]
## CaCuAu (SCAN)

Data for a PBEsol-optimized structure of CaCuAu.

Cell lengths 4.3680, 4.3680, 3.7012 Å; angles 90.00, 90.00, 120.00 degrees
Atoms (fractional coordinates):
Ca1 0.0000 0.0000 0.0000
Cu1 0.6667 0.3333 0.5000
Au1 0.3333 0.6667 0.5000

Its total energy is -31.91 eV per atom. Its formation enthalpy at 0 K is -0.5675 eV per atom. The space-group type is P-6m2, No. 187.



[3]
## BaCaGe2S (SCAN)

Data for a PBEsol-optimized structure of BaCaGe2S.

Cell lengths 5.1470, 5.1470, 5.5523 Å; angles 90.00, 90.00, 90.00 degrees
Atoms (fractional coordinates):
Ba1 0.0000 0.0000 0.0000
Ca1 0.5000 0.5000 0.0000
Ge1 0.0000 0.5000 0.5000
Ge2 0.5000 0.0000 0.5000
S1 0.0000 0.0000 0.5000

Its total energy is -19.56 eV per atom. The space-group type is P4/mmm, No. 123. Its energy relative to the elements, uncorrected is -162 meV per atom.



[4]
## Y3NiRu (SCAN)

Data for a PBEsol-optimized structure of Y3NiRu.

Cell lengths 5.1635, 5.1635, 5.1635 Å; angles 90.00, 90.00, 90.00 degrees
Atoms (fractional coordinates):
Y1 0.0000 0.0000 0.5000
Y2 0.0000 0.5000 0.0000
Y3 0.5000 0.0000 0.0000
Ni1 0.5000 0.5000 0.5000
Ru1 0.0000 0.0000 0.0000

Its total energy is -26.67 eV per atom. Its formation enthalpy at 0 K is 0.2325 eV per atom. The space-group type is Pm-3m, No. 221.



[5]
## KTb3F12 (SCAN)

Data for a PBEsol-optimized structure of KTb3F12.

Cell lengths 6.7918, 6.7918, 6.7918 Å; angles 108.67, 108.67, 111.09 degrees
Atoms (fractional coordinates):
K1 0.0000 0.0000 0.0000
Tb1 0.2500 0.7500 0.5000
Tb2 0.5000 0.5000 0.0000
Tb3 0.7500 0.2500 0.5000
F1 0.0033 0.3412 0.3445
F2 0.0967 0.3311 0.7776
F3 0.3191 0.0967 0.7656
F4 0.3311 0.5535 0.2344
F5 0.3412 0.9967 0.3379
F6 0.4465 0.6809 0.7776
F7 0.5535 0.3191 0.2224
F8 0.6588 0.0033 0.6621
F9 0.6689 0.4465 0.7656
F10 0.6809 0.9033 0.2344
F11 0.9033 0.6689 0.2224
F12 0.9967 0.6588 0.6555

Its total energy is -15.53 eV per atom. The space-group type is I4/m, No. 87. Its energy relative to the elements, uncorrected is -3586 meV per atom.



[6]
## ZnI2F (SCAN)

Data for a PBEsol-optimized structure of ZnI2F.

Cell lengths 6.8348, 6.8348, 6.8348 Å; angles 120.42, 120.42, 89.27 degrees
Atoms (fractional coordinates):
Zn1 0.0000 0.0000 0.0000
Zn2 0.7500 0.2500 0.5000
I1 0.1061 0.6250 0.9811
I2 0.3750 0.3561 0.4811
I3 0.6439 0.1250 0.0189
I4 0.8750 0.8939 0.5189
F1 0.2500 0.7500 0.5000
F2 0.5000 0.5000 0.0000

Its total energy is -23.05 eV per atom. The space-group type is I-42d, No. 122. Its energy relative to the elements, uncorrected is -419 meV per atom.



[7]
## FeBSeN2 (SCAN)

Data for a PBEsol-optimized structure of FeBSeN2.

Cell lengths 3.4393, 3.4393, 5.1305 Å; angles 90.00, 90.00, 90.00 degrees
Atoms (fractional coordinates):
Fe1 0.0000 0.0000 0.0000
B1 0.5000 0.5000 0.5000
Se1 0.0000 0.0000 0.5000
N1 0.0000 0.5000 0.0000
N2 0.5000 0.0000 0.0000

Its total energy is -11.48 eV per atom. The space-group type is P4/mmm, No. 123. Its energy relative to the elements, uncorrected is 1359 meV per atom.



[8]
## LaAsSe2S (SCAN)

Data for a PBEsol-optimized structure of LaAsSe2S.

Cell lengths 4.9216, 4.9216, 4.7179 Å; angles 90.00, 90.00, 90.00 degrees
Atoms (fractional coordinates):
La1 0.0000 0.0000 0.0000
As1 0.5000 0.5000 0.0000
Se1 0.0000 0.5000 0.5000
Se2 0.5000 0.0000 0.5000
S1 0.5000 0.5000 0.5000

Its total energy is -23.21 eV per atom. The space-group type is P4/mmm, No. 123. Its energy relative to the elements, uncorrected is -594 meV per atom.



Among the records above, which one has the lowest total energy? CaCuAu



The highest total energy belongs to which entry? Li3SeF



Which value of total energy does entry 4 give? -26.67 eV per atom



Number 1 is which compound? Li3SeF